[1]
Crystalline BeIrPbN2 at its relaxed geometry. Source: Alexandria, functional GGA-PBEsol.

Unit cell a=4.1271 b=4.1271 c=4.6829 alpha=90.00 beta=90.00 gamma=90.00
Closest atoms and distances in Å follow each position.
Fractional positions:
Ir 0.5000 0.5000 0.5000  4 Be 2.92, 8 N 3.12
N 0.5000 0.0000 0.0000  2 Pb 2.06
Be 0.0000 0.0000 0.5000  2 Pb 2.34
N 0.0000 0.5000 0.0000  2 Pb 2.06
Pb 0.0000 0.0000 0.0000  4 N 2.06

- SG = P4/mmm, No. 123
- uncorrected formation energy (meV per atom) = 2760
- size of the total moment (Bohr magnetons per cell) = 0.01
- N(E_F) (states/eV/atom) = 0.967

***

[2]
Crystalline BeIrSN2 at its relaxed geometry. Source: Alexandria, functional GGA-PBEsol.

Unit cell a=3.6709 b=3.6709 c=5.3696 alpha=90.00 beta=90.00 gamma=90.00
Closest atoms and distances in Å follow each position.
Fractional positions:
N 0.0000 0.5000 0.0000  2 Ir 1.84
S 0.0000 0.0000 0.5000  4 Be 2.60, 2 Ir 2.68
Ir 0.0000 0.0000 0.0000  4 N 1.84
Be 0.5000 0.5000 0.5000  4 S 2.60
N 0.5000 0.0000 0.0000  2 Ir 1.84

- SG = P4/mmm, No. 123
- uncorrected formation energy (meV per atom) = 873
- size of the total moment (Bohr magnetons per cell) = 0.00
- N(E_F) (states/eV/atom) = 0.384

***

[3]
Crystalline NaBe2Ir at its relaxed geometry. Source: Alexandria, functional GGA-PBEsol.

Unit cell a=4.4257 b=4.4257 c=8.0176 alpha=106.02 beta=106.02 gamma=90.00
Closest atoms and distances in Å follow each position.
Fractional positions:
Be 0.1250 0.3750 0.2500  2 Ir 2.15, 2 Be 2.21
Be 0.1250 0.8750 0.7500  2 Ir 2.15, 2 Be 2.21
Be 0.1250 0.8750 0.2500  2 Ir 2.15, 2 Be 2.21
Ir 0.0000 0.0000 0.0000  4 Be 2.15
Ir 0.2500 0.7500 0.5000  4 Be 2.15
Na 0.7500 0.2500 0.5000  8 Be 3.09, 4 Ir 3.13
Be 0.6250 0.8750 0.7500  2 Ir 2.15, 2 Be 2.21
Na 0.5000 0.5000 0.0000  8 Be 3.09, 4 Ir 3.13

- SG = I4_1/amd, No. 141
- size of the total moment (Bohr magnetons per cell) = 0.00
- N(E_F) (states/eV/atom) = 0.311
- E_tot (eV per atom) = -4.321

***

[4]
Crystalline NaBeSiIr2 at its relaxed geometry. Source: Alexandria, functional GGA-PBEsol.

Unit cell a=4.0294 b=4.1868 c=4.1868 alpha=90.00 beta=90.00 gamma=90.00
Closest atoms and distances in Å follow each position.
Fractional positions:
Ir 0.0000 0.5000 0.0000  2 Be 2.09
Be 0.0000 0.0000 0.0000  2 Si 2.01, 4 Ir 2.09
Na 0.5000 0.5000 0.5000  8 Ir 2.91, 4 Si 2.96
Si 0.5000 0.0000 0.0000  2 Be 2.01
Ir 0.0000 0.0000 0.5000  2 Be 2.09

- SG = P4/mmm, No. 123
- uncorrected formation energy (meV per atom) = 417
- size of the total moment (Bohr magnetons per cell) = 0.00
- N(E_F) (states/eV/atom) = 0.455

***

[5]
Crystalline BeNb2Ir at its relaxed geometry. Source: Alexandria, functional GGA-PBEsol.

Unit cell a=3.7487 b=3.7487 c=9.4436 alpha=101.45 beta=101.45 gamma=90.00
Closest atoms and distances in Å follow each position.
Fractional positions:
Ir 0.2500 0.7500 0.5000  4 Nb 2.64, 4 Be 2.65
Nb 0.3873 0.8750 0.2500  4 Nb 2.59-2.72, 2 Be 2.61, 2 Ir 2.64
Nb 0.1250 0.1373 0.7500  4 Nb 2.59-2.72, 2 Be 2.61, 2 Ir 2.64
Nb 0.6250 0.6127 0.7500  4 Nb 2.59-2.72, 2 Be 2.61, 2 Ir 2.64
Be 0.7500 0.2500 0.5000  4 Nb 2.61, 4 Ir 2.65
Nb 0.8627 0.3750 0.2500  4 Nb 2.59-2.72, 2 Be 2.61, 2 Ir 2.64
Ir 0.0000 0.0000 0.0000  4 Nb 2.64, 4 Be 2.65
Be 0.5000 0.5000 0.0000  4 Nb 2.61, 4 Ir 2.65

- SG = I-42d, No. 122
- size of the total moment (Bohr magnetons per cell) = 0.00
- N(E_F) (states/eV/atom) = 0.946
- E_tot (eV per atom) = -8.370

***

[6]
Crystalline BeNi2Ir at its relaxed geometry. Source: Alexandria, functional GGA-PBEsol.

Unit cell a=2.6346 b=4.1224 c=4.1224 alpha=90.00 beta=90.00 gamma=90.00
Closest atoms and distances in Å follow each position.
Fractional positions:
Ni 0.0000 0.5000 0.0000  4 Be 2.45, 4 Ir 2.45, 2 Ni 2.63
Ir 0.5000 0.0000 0.0000  8 Ni 2.45, 2 Ir 2.63
Ni 0.0000 0.0000 0.5000  4 Be 2.45, 4 Ir 2.45, 2 Ni 2.63
Be 0.5000 0.5000 0.5000  8 Ni 2.45, 2 Be 2.63

- SG = P4/mmm, No. 123
- size of the total moment (Bohr magnetons per cell) = 0.00
- N(E_F) (states/eV/atom) = 0.781
- E_tot (eV per atom) = -6.573

***

[7]
Crystalline BeNi3Ir at its relaxed geometry. Source: Alexandria, functional GGA-PBEsol.

Unit cell a=4.4442 b=4.4442 c=4.4442 alpha=90.00 beta=90.00 gamma=90.00
Closest atoms and distances in Å follow each position.
Fractional positions:
Ir 0.0000 0.0000 0.0000  6 Ni 2.22
Ni 0.5000 0.0000 0.0000  2 Ir 2.22
Ni 0.0000 0.5000 0.0000  2 Ir 2.22
Ni 0.0000 0.0000 0.5000  2 Ir 2.22
Be 0.5000 0.5000 0.5000  12 Ni 3.14

- SG = Pm-3m, No. 221
- size of the total moment (Bohr magnetons per cell) = 2.27
- N(E_F) (states/eV/atom) = 1.437
- E_tot (eV per atom) = -4.810

***

[8]
Crystalline Be4NiIr at its relaxed geometry. Source: Alexandria, functional GGA-PBEsol.

Unit cell a=4.2289 b=4.2289 c=4.2289 alpha=60.00 beta=60.00 gamma=60.00
Closest atoms and distances in Å follow each position.
Fractional positions:
Be 0.1242 0.6253 0.6253  6 Be 2.11-2.12
Ir 0.2500 0.2500 0.2500  12 Be 2.48, 4 Ni 2.59
Be 0.6253 0.6253 0.6253  6 Be 2.11-2.12
Be 0.6253 0.6253 0.1242  6 Be 2.11-2.12
Ni 0.0000 0.0000 0.0000  12 Be 2.48, 4 Ir 2.59
Be 0.6253 0.1242 0.6253  6 Be 2.11-2.12

- SG = F-43m, No. 216
- size of the total moment (Bohr magnetons per cell) = 0.00
- N(E_F) (states/eV/atom) = 0.304
- E_tot (eV per atom) = -5.743

***

[9]
Crystalline BeNi2Ir at its relaxed geometry. Source: Alexandria, functional GGA-PBEsol.

Unit cell a=2.7609 b=3.8725 c=4.6110 alpha=114.83 beta=107.42 gamma=90.00
Closest atoms and distances in Å follow each position.
Fractional positions:
Ni 0.2717 0.2717 0.5433  2 Be 2.27, 4 Ni 2.40
Ni 0.7283 0.7283 0.4567  2 Be 2.27, 4 Ni 2.40
Be 0.0000 0.5000 0.0000  4 Ni 2.27, 4 Ir 2.38
Ir 0.5000 0.0000 0.0000  4 Be 2.38, 8 Ni 2.55-2.65

- SG = Immm, No. 71
- size of the total moment (Bohr magnetons per cell) = 1.17
- N(E_F) (states/eV/atom) = 1.013
- E_tot (eV per atom) = -6.738

***

[10]
Crystalline BeNi2Ir at its relaxed geometry. Source: Alexandria, functional GGA-PBEsol.

Unit cell a=2.5717 b=4.2927 c=4.2927 alpha=111.49 beta=90.00 gamma=90.00
Closest atoms and distances in Å follow each position.
Fractional positions:
Ni 0.0000 0.0000 0.5000  4 Ni 2.42-2.57, 4 Be 2.50, 4 Ir 2.50
Be 0.5000 0.0000 0.0000  2 Ir 2.42, 8 Ni 2.50, 2 Be 2.57
Ni 0.0000 0.5000 0.0000  4 Ni 2.42-2.57, 4 Ir 2.50, 4 Be 2.50
Ir 0.5000 0.5000 0.5000  2 Be 2.42, 8 Ni 2.50, 2 Ir 2.57

- SG = Cmmm, No. 65
- size of the total moment (Bohr magnetons per cell) = 0.00
- N(E_F) (states/eV/atom) = 0.876
- E_tot (eV per atom) = -6.684

***

[11]
Crystalline BeNi2Ir at its relaxed geometry. Source: Alexandria, functional GGA-PBEsol.

Unit cell a=2.6195 b=4.1876 c=4.4294 alpha=110.46 beta=107.20 gamma=90.00
Closest atoms and distances in Å follow each position.
Fractional positions:
Ir 0.7655 0.3001 0.5309  3 Be 2.34-2.48, 6 Ni 2.48-2.58, 2 Ir 2.62
Be 0.5115 0.4640 0.0229  6 Ni 2.25-2.52, 3 Ir 2.34-2.48
Ni 0.2304 0.7737 0.4608  2 Be 2.25, 3 Ni 2.41-2.45, 4 Ir 2.48-2.49
Ni 0.9927 0.9622 0.9854  5 Ni 2.41-2.62, 4 Be 2.43-2.52, 2 Ir 2.58

- SG = Cm, No. 8
- size of the total moment (Bohr magnetons per cell) = 0.49
- N(E_F) (states/eV/atom) = 1.327
- E_tot (eV per atom) = -6.695

***

[12]
Crystalline BeNi2Ir at its relaxed geometry. Source: Alexandria, functional GGA-PBEsol.

Unit cell a=2.5358 b=2.5358 c=7.7523 alpha=90.00 beta=90.00 gamma=116.42
Closest atoms and distances in Å follow each position.
Fractional positions:
Be 0.0000 0.0000 0.5121  2 Ni 2.16, 2 Ir 2.31
Ni 0.0000 0.0000 0.9868  8 Ni 2.39-2.67, 2 Ir 2.57
Ni 0.5000 0.5000 0.7316  2 Be 2.16, 2 Ni 2.39
Ir 0.5000 0.5000 0.2695  2 Be 2.31, 4 Ir 2.54, 2 Ni 2.57

- SG = Cmm2, No. 35
- size of the total moment (Bohr magnetons per cell) = 0.68
- N(E_F) (states/eV/atom) = 1.362
- E_tot (eV per atom) = -6.502

***

[13]
Crystalline BeNi2IrRh at its relaxed geometry. Source: Alexandria, functional GGA-PBEsol.

Unit cell a=4.3790 b=4.3790 c=4.6143 alpha=90.00 beta=90.00 gamma=90.00
Closest atoms and distances in Å follow each position.
Fractional positions:
Ni 0.0000 0.5000 0.0000  2 Rh 2.19
Ir 0.0000 0.0000 0.5000  2 Rh 2.31
Be 0.5000 0.5000 0.5000  4 Ir 3.10, 8 Ni 3.18
Rh 0.0000 0.0000 0.0000  4 Ni 2.19, 2 Ir 2.31
Ni 0.5000 0.0000 0.0000  2 Rh 2.19

- SG = P4/mmm, No. 123
- size of the total moment (Bohr magnetons per cell) = 1.80
- N(E_F) (states/eV/atom) = 1.397
- E_tot (eV per atom) = -5.073

***

[14]
Crystalline Be2IrOs at its relaxed geometry. Source: Alexandria, functional GGA-PBEsol.

Unit cell a=3.2710 b=3.2710 c=4.7939 alpha=109.95 beta=109.95 gamma=90.00
Closest atoms and distances in Å follow each position.
Fractional positions:
Be 0.0000 0.0000 0.0000  4 Ir 2.31
Os 0.2500 0.7500 0.5000  4 Be 2.31
Ir 0.5000 0.5000 0.0000  4 Be 2.31
Be 0.7500 0.2500 0.5000  4 Os 2.31

- SG = I-4m2, No. 119
- size of the total moment (Bohr magnetons per cell) = 0.00
- energy above the lowest structure with this stoichiometry (meV/atom) = 260
- N(E_F) (states/eV/atom) = 0.922

***

[15]
Crystalline Be2IrOs at its relaxed geometry. Source: Alexandria, functional GGA-PBEsol.

Unit cell a=2.6578 b=2.6578 c=8.1071 alpha=80.57 beta=80.57 gamma=60.00
Closest atoms and distances in Å follow each position.
Fractional positions:
Ir 0.4946 0.4946 0.5161  3 Be 2.39, 6 Ir 2.66
Os 0.2543 0.2543 0.2371  3 Be 2.43, 6 Os 2.66, 3 Ir 2.70
Be 0.0000 0.0000 0.0001  3 Os 2.43, 9 Be 2.53-2.66
Be 0.7511 0.7511 0.7467  3 Ir 2.39, 9 Be 2.53-2.66

- SG = R3m, No. 160
- size of the total moment (Bohr magnetons per cell) = 0.00
- energy above the lowest structure with this stoichiometry (meV/atom) = 421
- N(E_F) (states/eV/atom) = 0.692